# 1
This record from OQMD via LeMat-Bulk describes a relaxed structure of SrZnSO. The functional is PBE.

Cell lengths 3.733, 3.733, 10.684 Å; angles 90.00, 90.00, 90.00 degrees
Element x y z (fractional)
Sr 0.250 0.250 0.119
Sr 0.750 0.750 0.881
Zn 0.250 0.750 0.500
Zn 0.750 0.250 0.500
S 0.250 0.250 0.640
S 0.750 0.750 0.360
O 0.250 0.250 0.899
O 0.750 0.750 0.101

Values from the calculation:
The calculation puts the volume at 148.9 Å³/cell. The uncorrected energy is -35.8 eV for the cell shown.

# 2
This record from OQMD via LeMat-Bulk describes a relaxed structure of DyGaHg2. The functional is PBE.

Cell lengths 4.904, 6.503, 6.503 Å; angles 61.07, 90.00, 90.00 degrees
Element x y z (fractional)
Dy 0.000 0.000 0.000
Dy 0.500 0.328 0.328
Ga 0.000 0.509 0.984
Ga 0.000 0.984 0.509
Hg 0.000 0.498 0.498
Hg 0.500 0.338 0.836
Hg 0.500 0.830 0.830
Hg 0.500 0.836 0.338

Values from the calculation:
The calculation puts the volume at 181.5 Å³/cell. The uncorrected energy is -19.3 eV for the cell shown.

# 3
This record from OQMD via LeMat-Bulk describes a relaxed structure of Be2AsP3W2. The functional is PBE.

Cell lengths 5.851, 5.851, 5.798 Å; angles 109.99, 109.99, 45.41 degrees
Element x y z (fractional)
Be 0.119 0.119 0.295
Be 0.881 0.881 0.705
As 0.277 0.723 0.500
P 0.024 0.405 0.662
P 0.595 0.976 0.338
P 0.716 0.284 0.000
W 0.274 0.384 0.087
W 0.616 0.726 0.913

Values from the calculation:
The calculation puts the volume at 131.3 Å³/cell. The uncorrected energy is -52.7 eV for the cell shown.

# 4
This record from OQMD via LeMat-Bulk describes a relaxed structure of LaNdB2Pt8. The functional is PBE.

Cell lengths 5.513, 5.513, 7.717 Å; angles 90.00, 90.00, 120.00 degrees
Element x y z (fractional)
La 0.000 0.000 0.000
Nd 0.000 0.000 0.500
B 0.333 0.667 0.000
B 0.667 0.333 0.000
Pt 0.000 0.500 0.199
Pt 0.000 0.500 0.801
Pt 0.333 0.667 0.500
Pt 0.500 0.000 0.199
Pt 0.500 0.000 0.801
Pt 0.500 0.500 0.199
Pt 0.500 0.500 0.801
Pt 0.667 0.333 0.500

Values from the calculation:
For the energy relative to the lowest polymorph listed for this composition, the calculation gives 0.022 eV per atom. The calculation puts the volume at 203.1 Å³/cell.

# 5
This record from OQMD via LeMat-Bulk describes a relaxed structure of CuAu. The functional is PBE.

Cell lengths 2.840, 2.840, 3.707 Å; angles 90.00, 90.00, 90.00 degrees
Element x y z (fractional)
Cu 0.000 0.000 0.000
Au 0.500 0.500 0.500

Values from the calculation:
The formation energy comes out at -0.1 eV per formula unit. The calculation puts the volume at 29.9 Å³/cell.

# 6
This record from OQMD via LeMat-Bulk describes a relaxed structure of HfIr3. The functional is PBE.

Cell lengths 3.960, 3.960, 3.960 Å; angles 90.00, 90.00, 90.00 degrees
Element x y z (fractional)
Hf 0.000 0.000 0.000
Ir 0.000 0.500 0.500
Ir 0.500 0.000 0.500
Ir 0.500 0.500 0.000

Values from the calculation:
The formation energy comes out at -3.2 eV per formula unit. The calculation puts the volume at 62.1 Å³/cell.

# 7
This record from OQMD via LeMat-Bulk describes a relaxed structure of PaNbTe. The functional is PBE.

Cell lengths 4.916, 4.916, 4.916 Å; angles 60.00, 60.00, 60.00 degrees
Element x y z (fractional)
Pa 0.000 0.000 0.000
Nb 0.750 0.750 0.750
Te 0.250 0.250 0.250

Values from the calculation:
For the energy relative to the lowest polymorph listed for this composition, the calculation gives 0.595 eV per atom. The calculation puts the volume at 84.0 Å³/cell.

# 8
This record from OQMD via LeMat-Bulk describes a relaxed structure of LiPtWAu. The functional is PBE.

Cell lengths 4.453, 4.453, 4.453 Å; angles 60.00, 60.00, 60.00 degrees
Element x y z (fractional)
Li 0.000 0.000 0.000
Pt 0.250 0.250 0.250
W 0.500 0.500 0.500
Au 0.750 0.750 0.750

Values from the calculation:
For the energy relative to the lowest polymorph listed for this composition, the calculation gives 0.000 eV per atom. The calculation puts the volume at 62.4 Å³/cell.

# 9
This record from OQMD via LeMat-Bulk describes a relaxed structure of NaNdHgTe3. The functional is PBE.

Cell lengths 8.808, 4.500, 10.685 Å; angles 90.00, 103.70, 90.00 degrees
Element x y z (fractional)
Na 0.217 0.250 0.246
Na 0.783 0.750 0.754
Nd 0.320 0.750 0.852
Nd 0.680 0.250 0.148
Hg 0.095 0.250 0.609
Hg 0.905 0.750 0.391
Te 0.063 0.250 0.865
Te 0.259 0.750 0.533
Te 0.432 0.750 0.157
Te 0.568 0.250 0.843
Te 0.741 0.250 0.467
Te 0.937 0.750 0.135

Values from the calculation:
For the energy relative to the lowest polymorph listed for this composition, the calculation gives 0.011 eV per atom. The calculation puts the volume at 411.5 Å³/cell.

# 10
This record from OQMD via LeMat-Bulk describes a relaxed structure of Dy2Si2O7. The functional is PBE.

Cell lengths 6.577, 6.618, 12.004 Å; angles 94.69, 90.36, 90.75 degrees
Element x y z (fractional)
Dy 0.054 0.330 0.115
Dy 0.116 0.093 0.359
Dy 0.328 0.828 0.108
Dy 0.373 0.214 0.631
Dy 0.627 0.786 0.369
Dy 0.672 0.172 0.892
Dy 0.884 0.907 0.641
Dy 0.946 0.670 0.885
Si 0.143 0.628 0.382
Si 0.156 0.147 0.884
Si 0.379 0.723 0.596
Si 0.486 0.664 0.826
Si 0.514 0.336 0.174
Si 0.621 0.277 0.404
Si 0.844 0.853 0.116
Si 0.857 0.372 0.618
O 0.001 0.015 0.184
O 0.001 0.666 0.081
O 0.040 0.227 0.568
O 0.071 0.420 0.312
O 0.225 0.904 0.627
O 0.242 0.089 0.004
O 0.284 0.783 0.313
O 0.294 0.572 0.488
O 0.295 0.708 0.907
O 0.350 0.211 0.812
O 0.357 0.492 0.124
O 0.382 0.141 0.212
O 0.402 0.564 0.695
O 0.416 0.166 0.444
O 0.584 0.834 0.556
O 0.598 0.436 0.305
O 0.618 0.859 0.788
O 0.643 0.508 0.876
O 0.650 0.789 0.188
O 0.705 0.292 0.093
O 0.706 0.428 0.512
O 0.716 0.217 0.687
O 0.758 0.911 0.996
O 0.775 0.096 0.373
O 0.929 0.580 0.688
O 0.960 0.773 0.432
O 0.999 0.334 0.919
O 0.999 0.985 0.816

Values from the calculation:
The calculation puts the volume at 520.7 Å³/cell. The uncorrected energy is -360.3 eV for the cell shown.

# 11
This record from OQMD via LeMat-Bulk describes a relaxed structure of YCuSbOs. The functional is PBE.

Cell lengths 4.708, 4.708, 4.708 Å; angles 60.00, 60.00, 60.00 degrees
Element x y z (fractional)
Y 0.000 0.000 0.000
Cu 0.750 0.750 0.750
Sb 0.500 0.500 0.500
Os 0.250 0.250 0.250

Values from the calculation:
For the energy relative to the lowest polymorph listed for this composition, the calculation gives 0.000 eV per atom. The calculation puts the volume at 73.8 Å³/cell.

# 12
This record from OQMD via LeMat-Bulk describes a relaxed structure of FeSiGe2. The functional is PBE.

Cell lengths 4.404, 4.404, 4.404 Å; angles 60.00, 60.00, 60.00 degrees
Element x y z (fractional)
Fe 0.000 0.000 0.000
Si 0.750 0.750 0.750
Ge 0.250 0.250 0.250
Ge 0.500 0.500 0.500

Values from the calculation:
The calculation puts the volume at 60.4 Å³/cell. The uncorrected energy is -21.1 eV for the cell shown.